# CaAg2Au | Alexandria | PBEsol | relaxed
data_CaAg2Au
_chemical_formula_sum 'Ca1 Ag2 Au1'
_symmetry_space_group_name_H-M 'P 1'
_symmetry_Int_Tables_number 1
_cell_length_a 4.7927
_cell_length_b 4.7927
_cell_length_c 4.7927
_cell_angle_alpha 60.00
_cell_angle_beta 60.00
_cell_angle_gamma 60.00
loop_
_symmetry_equiv_pos_as_xyz
'x,y,z'
loop_
_atom_site_label
_atom_site_type_symbol
_atom_site_fract_x
_atom_site_fract_y
_atom_site_fract_z
Ag1 Ag 0.0000 0.0000 0.0000
Ag2 Ag 0.7500 0.7500 0.7500
Ca1 Ca 0.2500 0.2500 0.2500
Au1 Au 0.5000 0.5000 0.5000
# Space group: F-43m, No. 216
# DFT formation energy, meV/atom: -314
# Density, g/cm3: 9.7
# Uncorrected energy, eV/f.u.: -13.9

# TaRuSe | Alexandria | PBEsol | relaxed
data_TaRuSe
_chemical_formula_sum 'Ta1 Ru1 Se1'
_symmetry_space_group_name_H-M 'P 1'
_symmetry_Int_Tables_number 1
_cell_length_a 4.2594
_cell_length_b 4.2594
_cell_length_c 4.2594
_cell_angle_alpha 60.00
_cell_angle_beta 60.00
_cell_angle_gamma 60.00
loop_
_symmetry_equiv_pos_as_xyz
'x,y,z'
loop_
_atom_site_label
_atom_site_type_symbol
_atom_site_fract_x
_atom_site_fract_y
_atom_site_fract_z
Ru1 Ru 0.0000 0.0000 0.0000
Ta1 Ta 0.2500 0.2500 0.2500
Se1 Se 0.5000 0.5000 0.5000
# Space group: F-43m, No. 216
# Energy relative to the elements, uncorrected, meV/atom: 228
# Density, g/cm3: 11.0
# Uncorrected energy, eV/f.u.: -25.9

# BiPt | Alexandria | PBEsol | relaxed
data_BiPt
_chemical_formula_sum 'Bi2 Pt2'
_symmetry_space_group_name_H-M 'P 1'
_symmetry_Int_Tables_number 1
_cell_length_a 4.3622
_cell_length_b 4.3622
_cell_length_c 5.4795
_cell_angle_alpha 90.00
_cell_angle_beta 90.00
_cell_angle_gamma 120.00
loop_
_symmetry_equiv_pos_as_xyz
'x,y,z'
loop_
_atom_site_label
_atom_site_type_symbol
_atom_site_fract_x
_atom_site_fract_y
_atom_site_fract_z
Bi1 Bi 0.6667 0.3333 0.2500
Bi2 Bi 0.3333 0.6667 0.7500
Pt1 Pt 0.0000 0.0000 0.0000
Pt2 Pt 0.0000 0.0000 0.5000
# Space group: P6_3/mmc, No. 194
# DFT formation energy, meV/atom: -268
# Density, g/cm3: 14.9
# Uncorrected energy, eV/f.u.: -11.8

# Li2ZrCr | Alexandria | PBEsol | relaxed
data_Li2ZrCr
_chemical_formula_sum 'Li2 Zr1 Cr1'
_symmetry_space_group_name_H-M 'P 1'
_symmetry_Int_Tables_number 1
_cell_length_a 2.6283
_cell_length_b 2.6283
_cell_length_c 9.4832
_cell_angle_alpha 90.00
_cell_angle_beta 90.00
_cell_angle_gamma 90.00
loop_
_symmetry_equiv_pos_as_xyz
'x,y,z'
loop_
_atom_site_label
_atom_site_type_symbol
_atom_site_fract_x
_atom_site_fract_y
_atom_site_fract_z
Zr1 Zr 0.5000 0.5000 0.0000
Cr1 Cr 0.5000 0.5000 0.5000
Li1 Li 0.0000 0.0000 0.7239
Li2 Li 0.0000 0.0000 0.2761
# Space group: P4/mmm, No. 123
# Energy relative to the lowest polymorph listed for this composition, meV per atom: 0
# DFT formation energy, meV/atom: 692
# Density, g/cm3: 4.0
# Uncorrected energy, eV/f.u.: -20.5

# Li2ICl | Alexandria | PBEsol | relaxed
data_Li2ICl
_chemical_formula_sum 'Li4 I2 Cl2'
_symmetry_space_group_name_H-M 'P 1'
_symmetry_Int_Tables_number 1
_cell_length_a 5.8908
_cell_length_b 5.8908
_cell_length_c 7.1856
_cell_angle_alpha 114.20
_cell_angle_beta 114.20
_cell_angle_gamma 90.00
loop_
_symmetry_equiv_pos_as_xyz
'x,y,z'
loop_
_atom_site_label
_atom_site_type_symbol
_atom_site_fract_x
_atom_site_fract_y
_atom_site_fract_z
Li1 Li 0.1250 0.1798 0.7500
Li2 Li 0.6250 0.5702 0.7500
Li3 Li 0.4298 0.8750 0.2500
Li4 Li 0.8202 0.3750 0.2500
Cl1 Cl 0.7500 0.2500 0.5000
Cl2 Cl 0.5000 0.5000 0.0000
I1 I 0.2500 0.7500 0.5000
I2 I 0.0000 0.0000 0.0000
# Space group: I-42d, No. 122
# Energy relative to the elements, uncorrected, meV/atom: -1493
# Energy relative to the lowest polymorph listed for this composition, meV per atom: 0
# Density, g/cm3: 2.9
# Uncorrected energy, eV/f.u.: -13.7

# SnBiO2F | Alexandria | PBEsol | relaxed
data_SnBiO2F
_chemical_formula_sum 'Sn1 Bi1 O2 F1'
_symmetry_space_group_name_H-M 'P 1'
_symmetry_Int_Tables_number 1
_cell_length_a 4.1523
_cell_length_b 4.1523
_cell_length_c 4.3470
_cell_angle_alpha 90.00
_cell_angle_beta 90.00
_cell_angle_gamma 90.00
loop_
_symmetry_equiv_pos_as_xyz
'x,y,z'
loop_
_atom_site_label
_atom_site_type_symbol
_atom_site_fract_x
_atom_site_fract_y
_atom_site_fract_z
Bi1 Bi 0.5000 0.5000 0.5000
O1 O 0.5000 0.0000 0.0000
O2 O 0.0000 0.5000 0.0000
F1 F 0.0000 0.0000 0.5000
Sn1 Sn 0.0000 0.0000 0.0000
# Space group: P4/mmm, No. 123
# Energy relative to the elements, uncorrected, meV/atom: -1084
# Density, g/cm3: 8.4
# Uncorrected energy, eV/f.u.: -26.4

# IrPbAuI2 | Alexandria | PBEsol | relaxed
data_IrPbAuI2
_chemical_formula_sum 'Ir1 Pb1 Au1 I2'
_symmetry_space_group_name_H-M 'P 1'
_symmetry_Int_Tables_number 1
_cell_length_a 5.1330
_cell_length_b 5.2512
_cell_length_c 5.2512
_cell_angle_alpha 90.00
_cell_angle_beta 90.00
_cell_angle_gamma 90.00
loop_
_symmetry_equiv_pos_as_xyz
'x,y,z'
loop_
_atom_site_label
_atom_site_type_symbol
_atom_site_fract_x
_atom_site_fract_y
_atom_site_fract_z
Au1 Au 0.5000 0.0000 0.0000
Ir1 Ir 0.0000 0.0000 0.0000
Pb1 Pb 0.5000 0.5000 0.5000
I1 I 0.0000 0.5000 0.0000
I2 I 0.0000 0.0000 0.5000
# Space group: P4/mmm, No. 123
# Energy relative to the elements, uncorrected, meV/atom: 483
# Density, g/cm3: 10.0
# Uncorrected energy, eV/f.u.: -18.9

# La5MgRe3O16 | Alexandria | PBEsol | relaxed
data_La5MgRe3O16
_chemical_formula_sum 'La5 Mg1 Re3 O16'
_symmetry_space_group_name_H-M 'P 1'
_symmetry_Int_Tables_number 1
_cell_length_a 5.6128
_cell_length_b 5.6251
_cell_length_c 10.0737
_cell_angle_alpha 93.57
_cell_angle_beta 93.31
_cell_angle_gamma 91.10
loop_
_symmetry_equiv_pos_as_xyz
'x,y,z'
loop_
_atom_site_label
_atom_site_type_symbol
_atom_site_fract_x
_atom_site_fract_y
_atom_site_fract_z
La1 La 0.0000 0.0000 0.5000
La2 La 0.0342 0.5092 0.2072
La3 La 0.4856 0.9716 0.7984
La4 La 0.5144 0.0284 0.2016
La5 La 0.9658 0.4908 0.7928
O1 O 0.2226 0.2180 0.6775
O2 O 0.8121 0.7141 0.0359
O3 O 0.7827 0.3043 0.3654
O4 O 0.2961 0.8070 0.9997
O5 O 0.6901 0.6962 0.5684
O6 O 0.7029 0.2251 0.6365
O7 O 0.9291 0.9243 0.8158
O8 O 0.4578 0.4544 0.1973
O9 O 0.7774 0.7820 0.3225
O10 O 0.2971 0.7749 0.3635
O11 O 0.2173 0.6957 0.6346
O12 O 0.1879 0.2859 0.9641
O13 O 0.3099 0.3038 0.4316
O14 O 0.5422 0.5456 0.8027
O15 O 0.0709 0.0757 0.1842
O16 O 0.7039 0.1930 0.0003
Re1 Re 0.4456 0.4459 0.6072
Re2 Re 0.5544 0.5541 0.3928
Re3 Re 0.0000 0.0000 0.0000
Mg1 Mg 0.5000 0.5000 0.0000
# Space group: P-1, No. 2
# Energy relative to the elements, uncorrected, meV/atom: -2686
# Density, g/cm3: 8.0
# Uncorrected energy, eV/f.u.: -219.6

# Tl2GeSe | Alexandria | PBEsol | relaxed
data_Tl2GeSe
_chemical_formula_sum 'Tl2 Ge1 Se1'
_symmetry_space_group_name_H-M 'P 1'
_symmetry_Int_Tables_number 1
_cell_length_a 5.1681
_cell_length_b 5.1681
_cell_length_c 5.1681
_cell_angle_alpha 60.00
_cell_angle_beta 60.00
_cell_angle_gamma 60.00
loop_
_symmetry_equiv_pos_as_xyz
'x,y,z'
loop_
_atom_site_label
_atom_site_type_symbol
_atom_site_fract_x
_atom_site_fract_y
_atom_site_fract_z
Se1 Se 0.5000 0.5000 0.5000
Tl1 Tl 0.7500 0.7500 0.7500
Tl2 Tl 0.2500 0.2500 0.2500
Ge1 Ge 0.0000 0.0000 0.0000
# Space group: Fm-3m, No. 225
# Energy relative to the elements, uncorrected, meV/atom: 167
# Density, g/cm3: 9.5
# Uncorrected energy, eV/f.u.: -13.4

# BaSm2Te4 | Alexandria | PBEsol | relaxed
data_BaSm2Te4
_chemical_formula_sum 'Ba4 Sm8 Te16'
_symmetry_space_group_name_H-M 'P 1'
_symmetry_Int_Tables_number 1
_cell_length_a 4.4908
_cell_length_b 13.5441
_cell_length_c 16.2963
_cell_angle_alpha 90.00
_cell_angle_beta 90.00
_cell_angle_gamma 90.00
loop_
_symmetry_equiv_pos_as_xyz
'x,y,z'
loop_
_atom_site_label
_atom_site_type_symbol
_atom_site_fract_x
_atom_site_fract_y
_atom_site_fract_z
Te1 Te 0.2500 0.7898 0.1704
Te2 Te 0.2500 0.3644 0.0251
Te3 Te 0.7500 0.7102 0.6704
Te4 Te 0.7500 0.0204 0.2823
Te5 Te 0.7500 0.9146 0.9181
Te6 Te 0.7500 0.5204 0.2177
Te7 Te 0.7500 0.2102 0.8296
Te8 Te 0.2500 0.9796 0.7177
Te9 Te 0.7500 0.4146 0.5819
Te10 Te 0.7500 0.6356 0.9749
Te11 Te 0.2500 0.4796 0.7823
Te12 Te 0.7500 0.1356 0.5251
Te13 Te 0.2500 0.2898 0.3296
Te14 Te 0.2500 0.5854 0.4181
Te15 Te 0.2500 0.8644 0.4749
Te16 Te 0.2500 0.0854 0.0819
Sm1 Sm 0.2500 0.0707 0.8935
Sm2 Sm 0.2500 0.5707 0.6065
Sm3 Sm 0.7500 0.4242 0.9018
Sm4 Sm 0.2500 0.0758 0.4018
Sm5 Sm 0.7500 0.9293 0.1065
Sm6 Sm 0.2500 0.5758 0.0982
Sm7 Sm 0.7500 0.9242 0.5982
Sm8 Sm 0.7500 0.4293 0.3935
Ba1 Ba 0.7500 0.2578 0.1664
Ba2 Ba 0.2500 0.2422 0.6664
Ba3 Ba 0.2500 0.7422 0.8336
Ba4 Ba 0.7500 0.7578 0.3336
# Space group: Pnma, No. 62
# Energy relative to the elements, uncorrected, meV/atom: -1527
# Density, g/cm3: 6.4
# Uncorrected energy, eV/f.u.: -37.1

# LiTe2IN | Alexandria | PBEsol | relaxed
data_LiTe2IN
_chemical_formula_sum 'Li1 Te2 I1 N1'
_symmetry_space_group_name_H-M 'P 1'
_symmetry_Int_Tables_number 1
_cell_length_a 3.8706
_cell_length_b 6.0282
_cell_length_c 6.0282
_cell_angle_alpha 90.00
_cell_angle_beta 90.00
_cell_angle_gamma 90.00
loop_
_symmetry_equiv_pos_as_xyz
'x,y,z'
loop_
_atom_site_label
_atom_site_type_symbol
_atom_site_fract_x
_atom_site_fract_y
_atom_site_fract_z
I1 I 0.0000 0.0000 0.0000
Te1 Te 0.0000 0.5000 0.0000
Te2 Te 0.0000 0.0000 0.5000
N1 N 0.5000 0.0000 0.0000
Li1 Li 0.5000 0.5000 0.5000
# Space group: P4/mmm, No. 123
# Energy relative to the elements, uncorrected, meV/atom: 819
# Density, g/cm3: 4.8
# Uncorrected energy, eV/f.u.: -15.2

Number 1: total magnetization 0.00 μB/f.u.. Number 2: total magnetization 0.00 μB/f.u.. Number 3: total magnetization 0.00 μB/f.u.. Number 4: total magnetization 1.69 μB/f.u.. Number 5: total magnetization 0.00 μB/f.u.. Number 6: total magnetization 0.00 μB/f.u.. Number 7: total magnetization 0.00 μB/f.u.. Number 8: total magnetization 2.06 μB/f.u.. Number 9: total magnetization 0.00 μB/f.u.. Number 10: total magnetization 0.00 μB/f.u.. Number 11: total magnetization 0.00 μB/f.u..